No. 1
TcMoP2 | PBE | relaxed

abc: 6.1441 6.1441 6.1441
angles: 150.22 150.14 42.67
Last column: nearest neighbours and their distance in Å.
Fractional coordinates of all 4 atoms:
Tc (0.5430, 0.5430, 0.0000)  6 P 2.44-2.45
Mo (0.2935, 0.7935, 0.5000)  6 P 2.45
P (0.7067, 0.2067, 0.5000)  4 Mo 2.45, 2 Tc 2.45
P (0.9569, 0.9569, 0.0000)  4 Tc 2.44, 2 Mo 2.45

Properties
Formation energy from the elements ... -213 kJ/mol of formula units
Excess energy over the best structure of this formula in the dataset ... 0 meV/atom

---

No. 2
Th3Si4Tc2 | PBE | relaxed

abc: 4.3068 5.8583 8.3331
angles: 106.38 90.00 111.57
Last column: nearest neighbours and their distance in Å.
Fractional coordinates of all 9 atoms:
Si (0.2858, 0.5716, 0.9228)  1 Tc 2.45
Si (0.8962, 0.7924, 0.5912)  3 Tc 2.42-2.51
Si (0.7142, 0.4284, 0.0772)  1 Tc 2.45
Si (0.1038, 0.2076, 0.4088)  3 Tc 2.42-2.51
Th (0.6195, 0.2391, 0.6995)  7 Si 3.00-3.21, 4 Tc 3.15-3.23
Th (0.0000, 0.0000, 0.0000)  8 Si 3.10-3.37
Th (0.3805, 0.7609, 0.3005)  7 Si 3.00-3.21, 4 Tc 3.15-3.23
Tc (0.3128, 0.6256, 0.6419)  4 Si 2.42-2.51
Tc (0.6872, 0.3744, 0.3581)  4 Si 2.42-2.51

Properties
Formation energy without anion corrections ... -0.678 eV per atom

---

No. 3
BaTlInRe2 | PBE | relaxed

abc: 5.1584 6.0590 5.1584
angles: 90.00 90.00 90.00
Last column: nearest neighbours and their distance in Å.
Fractional coordinates of all 5 atoms:
Tl (0.5000, 0.5000, 0.5000)  4 Ba 3.65, 8 Re 3.98
In (0.0000, 0.0000, 0.0000)  4 Re 2.58
Re (0.0000, 0.0000, 0.5000)  2 In 2.58
Re (0.5000, 0.0000, 0.0000)  2 In 2.58
Ba (0.0000, 0.5000, 0.0000)  2 In 3.03

Properties
Formation energy from the elements ... 925 kJ/mol of formula units
Excess energy over the best structure of this formula in the dataset ... 0 meV/atom

---

No. 4
ScTc2 | PBE | relaxed

abc: 4.2779 4.2779 6.5869
angles: 90.00 90.00 120.00
Last column: nearest neighbours and their distance in Å.
Fractional coordinates of all 6 atoms:
Sc (0.0000, 0.0000, 0.2500)  12 Tc 2.84-3.11
Sc (0.0000, 0.0000, 0.7500)  12 Tc 2.84-3.11
Tc (0.3333, 0.6667, 0.9624)  4 Tc 2.52-2.80
Tc (0.3333, 0.6667, 0.5376)  4 Tc 2.52-2.80
Tc (0.6667, 0.3333, 0.0376)  4 Tc 2.52-2.80
Tc (0.6667, 0.3333, 0.4624)  4 Tc 2.52-2.80

Properties
Formation energy from the elements ... -11 kJ/mol of formula units
Excess energy over the best structure of this formula in the dataset ... 265 meV/atom

---

No. 5
MnAs2W | PBE | relaxed

abc: 2.7906 2.7906 9.5265
angles: 90.00 90.00 103.46
Last column: nearest neighbours and their distance in Å.
Fractional coordinates of all 4 atoms:
As (0.5000, 0.5000, 0.3280)  2 Mn 2.49
As (0.0000, 0.0000, 0.9346)  2 W 2.67, 4 As 2.79
W (0.5000, 0.5000, 0.7214)  2 Mn 2.61, 2 As 2.67, 4 W 2.79
Mn (0.0000, 0.0000, 0.5160)  2 As 2.49, 2 W 2.61

Properties
Formation energy from the elements ... 57 kJ/mol of formula units
Excess energy over the best structure of this formula in the dataset ... 137 meV/atom

---

No. 6
KRuBrCl6 | PBE | relaxed

abc: 7.0021 7.5009 7.0746
angles: 113.54 108.31 62.31
Last column: nearest neighbours and their distance in Å.
Fractional coordinates of all 9 atoms:
K (0.6092, 0.6670, 0.3406)  6 Cl 3.28-3.57, 1 Br 3.62
Ru (0.3417, 0.3441, 0.5202)  6 Cl 2.30-2.41
Cl (0.0717, 0.5880, 0.7431)  1 Ru 2.40, 1 Br 2.43
Cl (0.1863, 0.5734, 0.3200)  1 Ru 2.32
Cl (0.5757, 0.0942, 0.2849)  1 Ru 2.31
Cl (0.4664, 0.1205, 0.7190)  1 Ru 2.30
Cl (0.0578, 0.2131, 0.3334)  1 Ru 2.41, 1 Br 2.47
Cl (0.5882, 0.4996, 0.7173)  1 Ru 2.31
Br (0.1028, 0.9001, 0.0213)  2 Cl 2.43-2.47

Properties
Formation energy without anion corrections ... -0.709 eV per atom

---

No. 7
SrMn | PBE | relaxed

abc: 4.0128 4.0128 4.8002
angles: 90.00 90.00 120.00
Last column: nearest neighbours and their distance in Å.
Fractional coordinates of all 2 atoms:
Mn (0.0000, 0.0000, 0.0000)  6 Sr 3.34
Sr (0.6667, 0.3333, 0.5000)  6 Mn 3.34

Properties
Formation energy from the elements ... 167 kJ/mol of formula units

---

No. 8
AcNd2Ga | PBE | relaxed

abc: 5.0900 5.0900 6.6629
angles: 67.54 67.54 60.00
Last column: nearest neighbours and their distance in Å.
Fractional coordinates of all 4 atoms:
Nd (0.7232, 0.7232, 0.8305)  3 Ga 3.11
Nd (0.2768, 0.2768, 0.1695)  3 Ga 3.11
Ac (0.5000, 0.5000, 0.5000)  6 Nd 3.54
Ga (0.0000, 0.0000, 0.0000)  6 Nd 3.11

Properties
Formation energy from the elements ... -16 kJ/mol of formula units
Excess energy over the best structure of this formula in the dataset ... 199 meV/atom